#a
Below is an optimized crystal structure of LaPr4Nd2, with properties calculated at the PBE level.

Values from the calculation:
N(E_F) = 21.7 states/eV per cell
symmetry = P2/m (10)

POSCAR file:
```
LaPr4Nd2
1.0
7.142 0.000 0.000
0.000 10.689 0.000
-2.118 0.000 6.883
La Pr Nd
2 8 4
direct
0.000 0.000 0.000
0.000 0.000 0.500
0.190 0.286 0.230
0.190 0.714 0.230
0.311 0.218 0.769
0.311 0.782 0.769
0.689 0.218 0.231
0.689 0.782 0.231
0.810 0.286 0.770
0.810 0.714 0.770
0.000 0.500 0.500
0.500 0.000 0.500
0.500 0.500 0.000
0.500 0.500 0.500
```

=====

#b
Below is an optimized crystal structure of LaPr4Nd2, with properties calculated at the PBE level.

Values from the calculation:
N(E_F) = 19.3 states/eV per cell
symmetry = I4/mmm (139)

POSCAR file:
```
LaPr4Nd2
1.0
4.713 0.000 0.000
0.000 4.713 0.000
0.000 0.000 23.361
La Pr Nd
2 8 4
direct
0.000 0.000 0.000
0.500 0.500 0.500
0.000 0.000 0.138
0.000 0.000 0.862
0.000 0.500 0.250
0.000 0.500 0.750
0.500 0.000 0.250
0.500 0.000 0.750
0.500 0.500 0.362
0.500 0.500 0.638
0.000 0.000 0.401
0.000 0.000 0.599
0.500 0.500 0.099
0.500 0.500 0.901
```

=====

#a wins, 0.040 eV/atom ahead of the next structure.